Entry 1:
This record from the Alexandria database describes a relaxed structure of PmErGe2. The functional is PBE.

Geometry as POSCAR:
```
PmErGe2
1.0
4.003 0.000 0.000
0.000 4.340 0.000
0.000 0.000 10.835
Pm Er Ge
2 2 4
direct
0.000 0.000 0.000 Pm
0.000 0.500 0.500 Pm
0.500 0.000 0.724 Er
0.500 0.500 0.224 Er
0.000 0.000 0.276 Ge
0.000 0.500 0.776 Ge
0.500 0.000 0.445 Ge
0.500 0.500 0.945 Ge
```

Results
Calculated total energy, eV per atom: -5.48
Energy of formation from the pure elements, eV per atom: -0.85



Entry 2:
This record from the Alexandria database describes a relaxed structure of LaY2Rh. The functional is PBE.

Geometry as POSCAR:
```
LaY2Rh
1.0
3.644 0.000 0.000
0.000 5.463 0.000
0.000 0.000 11.341
La Y Rh
2 4 2
direct
0.000 0.000 0.000 La
0.500 0.500 0.500 La
0.000 0.500 0.194 Y
0.000 0.500 0.806 Y
0.500 0.000 0.306 Y
0.500 0.000 0.694 Y
0.000 0.000 0.500 Rh
0.500 0.500 0.000 Rh
```

Results
Calculated total energy, eV per atom: -6.67
Energy above the lowest structure with this stoichiometry, eV/atom: 0.1303
Energy of formation from the pure elements, eV per atom: -0.37



Entry 3:
This record from the Alexandria database describes a relaxed structure of Tb5Pm2Th2. The functional is PBE.

Geometry as POSCAR:
```
Tb5Pm2Th2
1.0
11.333 -1.743 0.000
11.333 1.743 0.000
-1.222 0.000 7.949
Tb Pm Th
5 2 2
direct
0.000 0.000 0.000 Tb
0.090 0.090 0.729 Tb
0.308 0.308 0.454 Tb
0.692 0.692 0.546 Tb
0.910 0.910 0.271 Tb
0.176 0.176 0.148 Pm
0.824 0.824 0.852 Pm
0.447 0.447 0.645 Th
0.553 0.553 0.355 Th
```

Results
Calculated total energy, eV per atom: -5.01
Energy of formation from the pure elements, eV per atom: 0.26



Entry 4:
This record from the Alexandria database describes a relaxed structure of BeAl2W. The functional is PBE.

Geometry as POSCAR:
```
BeAl2W
1.0
6.056 0.000 0.000
0.000 6.056 0.000
0.000 0.000 6.056
Be Al W
4 8 4
direct
0.000 0.000 0.000 Be
0.000 0.500 0.500 Be
0.500 0.000 0.500 Be
0.500 0.500 0.000 Be
0.000 0.000 0.500 Al
0.000 0.500 0.000 Al
0.250 0.250 0.750 Al
0.250 0.750 0.250 Al
0.500 0.000 0.000 Al
0.500 0.500 0.500 Al
0.750 0.250 0.250 Al
0.750 0.750 0.750 Al
0.250 0.250 0.250 W
0.250 0.750 0.750 W
0.750 0.250 0.750 W
0.750 0.750 0.250 W
```

Results
Calculated total energy, eV per atom: -5.67
Energy of formation from the pure elements, eV per atom: 0.37



Entry 5:
This record from the Alexandria database describes a relaxed structure of NaNpPt4. The functional is PBE.

Geometry as POSCAR:
```
NaNpPt4
1.0
0.000 3.815 3.815
3.815 0.000 3.815
3.815 3.815 0.000
Na Np Pt
1 1 4
direct
0.000 0.000 0.000 Na
0.750 0.750 0.750 Np
0.375 0.375 0.375 Pt
0.375 0.375 0.876 Pt
0.375 0.876 0.375 Pt
0.876 0.375 0.375 Pt
```

Results
Calculated total energy, eV per atom: -6.94
Energy of formation from the pure elements, eV per atom: -0.53



Entry 6:
This record from the Alexandria database describes a relaxed structure of SmBeGe. The functional is PBE.

Geometry as POSCAR:
```
SmBeGe
1.0
3.973 0.000 0.000
-1.986 3.440 0.000
0.000 0.000 4.187
Sm Be Ge
1 1 1
direct
0.000 0.000 0.000 Sm
0.667 0.333 0.500 Be
0.333 0.667 0.500 Ge
```

Results
Calculated total energy, eV per atom: -5.01
Energy of formation from the pure elements, eV per atom: -0.66



Entry 7:
This record from the Alexandria database describes a relaxed structure of BeAgB2. The functional is PBE.

Geometry as POSCAR:
```
BeAgB2
1.0
3.463 0.000 0.000
0.000 3.463 0.000
0.000 0.000 13.768
Be Ag B
4 4 8
direct
0.000 0.250 0.375 Be
0.000 0.750 0.625 Be
0.500 0.250 0.125 Be
0.500 0.750 0.875 Be
0.000 0.250 0.875 Ag
0.000 0.750 0.125 Ag
0.500 0.250 0.625 Ag
0.500 0.750 0.375 Ag
0.000 0.000 0.500 B
0.000 0.500 0.500 B
0.250 0.250 0.250 B
0.250 0.750 0.750 B
0.500 0.000 0.000 B
0.500 0.500 0.000 B
0.750 0.250 0.250 B
0.750 0.750 0.750 B
```

Results
Calculated total energy, eV per atom: -4.47
Energy of formation from the pure elements, eV per atom: 0.52



Entry 8:
This record from the Alexandria database describes a relaxed structure of LaY5Er2. The functional is PBE.

Geometry as POSCAR:
```
LaY5Er2
1.0
0.000 5.705 6.314
3.645 0.000 6.314
3.645 5.705 0.000
La Y Er
1 5 2
direct
0.000 0.000 0.000 La
0.002 0.503 0.998 Y
0.085 0.085 0.415 Y
0.502 0.502 0.498 Y
0.503 0.002 0.497 Y
0.585 0.585 0.915 Y
0.088 0.583 0.417 Er
0.583 0.088 0.912 Er
```

Results
Calculated total energy, eV per atom: -5.78
Energy above the lowest structure with this stoichiometry, eV/atom: 0.0000
Energy of formation from the pure elements, eV per atom: 0.01



Entry 9:
This record from the Alexandria database describes a relaxed structure of Sr2CaCr. The functional is PBE.

Geometry as POSCAR:
```
Sr2CaCr
1.0
4.075 0.000 0.000
0.000 4.075 0.000
0.000 0.000 9.660
Sr Ca Cr
2 1 1
direct
0.000 0.000 0.205 Sr
0.000 0.000 0.795 Sr
0.500 0.500 0.500 Ca
0.500 0.500 0.000 Cr
```

Results
Calculated total energy, eV per atom: -3.35
Energy above the lowest structure with this stoichiometry, eV/atom: 0.0000
Energy of formation from the pure elements, eV per atom: 0.40



Entry 10:
This record from the Alexandria database describes a relaxed structure of CaTm6Se8. The functional is PBE.

Geometry as POSCAR:
```
CaTm6Se8
1.0
0.000 5.680 5.680
5.680 0.000 5.680
5.680 5.680 0.000
Ca Tm Se
1 6 8
direct
0.000 0.000 0.000 Ca
0.000 0.000 0.500 Tm
0.000 0.500 0.000 Tm
0.000 0.500 0.500 Tm
0.500 0.000 0.000 Tm
0.500 0.000 0.500 Tm
0.500 0.500 0.000 Tm
0.250 0.250 0.250 Se
0.256 0.256 0.744 Se
0.256 0.744 0.256 Se
0.256 0.744 0.744 Se
0.744 0.256 0.256 Se
0.744 0.256 0.744 Se
0.744 0.744 0.256 Se
0.750 0.750 0.750 Se
```

Results
Formation energy without anion corrections, meV per atom: -1797
Calculated total energy, eV per atom: -5.58



Entry 11:
This record from the Alexandria database describes a relaxed structure of NaLi2H3. The functional is PBE.

Geometry as POSCAR:
```
NaLi2H3
1.0
3.122 0.000 0.000
0.000 3.939 0.000
-0.014 0.000 9.879
Na Li H
2 4 6
direct
0.246 0.250 0.250 Na
0.754 0.750 0.750 Na
0.251 0.250 0.561 Li
0.251 0.250 0.939 Li
0.749 0.750 0.061 Li
0.749 0.750 0.439 Li
0.249 0.750 0.952 H
0.250 0.750 0.548 H
0.260 0.250 0.750 H
0.740 0.750 0.250 H
0.750 0.250 0.452 H
0.751 0.250 0.048 H
```

Results
Calculated total energy, eV per atom: -2.85
Energy above the lowest structure with this stoichiometry, eV/atom: 0.0000